The following is a GGA-PBE calculation of a relaxed La8Tb3Sc crystal, from Alexandria.

Output
Fermi-level density of states	21.4	states/eV/f.u.
spin magnetization	0.00	μB/f.u.
energy of formation	48	kJ/mol of atoms
uncorrected energy	-4.47	eV/atom
density	6.0	g cm⁻³

a b c (Å): 8.7744 8.7744 11.7767
angles (deg): 90.00 90.00 90.00
With the nearest neighbours (Å) after each atom.
Space group I-42m (No. 121)
One atom of each set of equivalent atoms:
La (0.1251, 0.1251, 0.2534) x8  3 La 3.11-3.39, 1 Sc 3.29, 3 Tb 3.36-3.47
La (0.2436, 0.2436, 0.5127) x8  1 Sc 3.03, 1 Tb 3.19, 2 La 3.27-3.39
Tb (0.0000, 0.0000, 0.0000) x2  8 La 3.19-3.36
Tb (0.0000, 0.5000, 0.2500) x4  4 La 3.47
Sc (0.0000, 0.0000, 0.5000) x2  8 La 3.03-3.29